No. 1
The following is a PBE calculation of crystalline Sm4Y2Tm5 at its relaxed geometry, from Alexandria.

For the formation energy from the elements, the calculation gives 0.102 eV per atom.

The space group is C2/m (No. 12) and the conventional cell measures 19.160, 5.644 and 6.516 Å, with angles of 90.00, 91.64 and 90.00 degrees. The asymmetric unit holds Sm at (0.023, 0.000, 0.282), Sm at (0.195, 0.500, 0.074), Y at (0.099, 0.500, 0.553), Tm at (0.000, 0.500, 0.000), Tm at (0.131, 0.000, 0.888) and Tm at (0.209, 0.000, 0.401).

=====

No. 2
The following is a PBE calculation of crystalline AcLa2Si at its relaxed geometry, from Alexandria.

The formation energy from raw total energies is -0.363 eV/atom.

The space group is Pnma (No. 62) and the conventional cell measures 8.257, 9.645 and 6.661 Å, with angles of 90.00, 90.00 and 90.00 degrees. The asymmetric unit holds Ac at (0.030, 0.250, 0.127), La at (0.182, 0.053, 0.621) and Si at (0.118, 0.750, 0.410).

=====

No. 3
The following is a PBE calculation of crystalline In2Si2Pd at its relaxed geometry, from Alexandria.

The formation energy from raw total energies is -0.011 eV/atom.

The space group is P4/mbm (No. 127) and the conventional cell measures 6.347, 6.347 and 4.919 Å, with angles of 90.00, 90.00 and 90.00 degrees. The asymmetric unit holds In at (0.181, 0.319, 0.000), Si at (0.135, 0.635, 0.500) and Pd at (0.000, 0.000, 0.500).

=====

No. 4
The following is a PBE calculation of crystalline LaZr2CoIr at its relaxed geometry, from Alexandria.

For the formation energy from the elements, the calculation gives 0.099 eV per atom.

The space group is P4/mmm (No. 123) and the conventional cell measures 4.704, 4.704 and 5.015 Å, with angles of 90.00, 90.00 and 90.00 degrees. The asymmetric unit holds La at (0.000, 0.000, 0.000), Zr at (0.000, 0.500, 0.500), Co at (0.500, 0.500, 0.500) and Ir at (0.500, 0.500, 0.000).

=====

No. 5
The following is a PBE calculation of crystalline Ce2YScS4 at its relaxed geometry, from Alexandria.

The formation energy from raw total energies is -1.979 eV/atom.

The space group is P2/m (No. 10) and the conventional cell measures 6.741, 3.886 and 6.874 Å, with angles of 90.00, 109.03 and 90.00 degrees. The asymmetric unit holds Ce at (0.000, 0.000, 0.000), Ce at (0.500, 0.500, 0.000), Y at (0.000, 0.500, 0.500), Sc at (0.500, 0.000, 0.500), S at (0.253, 0.000, 0.734) and S at (0.265, 0.500, 0.272).

=====

No. 6
The following is a PBE calculation of crystalline Li3HgAu3 at its relaxed geometry, from Alexandria.

For the formation energy from the elements, the calculation gives -0.221 eV per atom.

The space group is P6_3/m (No. 176) and the conventional cell measures 11.5967, 11.5967 and 2.8671 Å, with angles of 90.00, 90.00 and 120.00 degrees. The asymmetric unit holds Li at (0.1280, 0.3782, 0.2500), Hg at (0.3333, 0.6667, 0.2500) and Au at (0.0654, 0.6281, 0.2500).

=====

No. 7
The following is a PBE calculation of crystalline Ac2Ni4Sb3Pb at its relaxed geometry, from Alexandria.

The formation energy from raw total energies is -0.580 eV/atom.

The space group is P-4m2 (No. 115) and the conventional cell measures 4.588, 4.588 and 10.380 Å, with angles of 90.00, 90.00 and 90.00 degrees. The asymmetric unit holds Ac at (0.000, 0.500, 0.234), Ni at (0.000, 0.000, 0.000), Ni at (0.000, 0.500, 0.631), Ni at (0.500, 0.500, 0.000), Sb at (0.000, 0.500, 0.878), Sb at (0.500, 0.500, 0.500) and Pb at (0.000, 0.000, 0.500).

=====

No. 8
The following is a PBE calculation of crystalline RbGaP2 at its relaxed geometry, from Alexandria.

For the formation energy from the elements, the calculation gives -0.029 eV per atom.

The space group is I4_1/amd (No. 141, origin choice 2) and the conventional cell measures 5.261, 5.261 and 16.184 Å, with angles of 90.00, 90.00 and 90.00 degrees. The asymmetric unit holds Rb at (0.000, 0.250, 0.375), Ga at (0.000, 0.250, 0.875) and P at (0.000, 0.000, 0.000).

=====

No. 9
The following is a PBE calculation of crystalline VPb2N3 at its relaxed geometry, from Alexandria.

The formation energy from raw total energies is -0.103 eV/atom.

The space group is Cmc2_1 (No. 36) and the conventional cell measures 15.222, 5.746 and 5.317 Å, with angles of 90.00, 90.00 and 90.00 degrees. The asymmetric unit holds V at (0.000, 0.174, 0.000), Pb at (0.138, 0.289, 0.482), N at (0.000, 0.129, 0.353) and N at (0.097, 0.326, 0.916).

=====

No. 10
The following is a PBE calculation of crystalline Hf3SnF at its relaxed geometry, from Alexandria.

The formation energy from raw total energies is -0.486 eV/atom.

The space group is Pm-3m (No. 221) and the conventional cell measures 4.553, 4.553 and 4.553 Å, with angles of 90.00, 90.00 and 90.00 degrees. The asymmetric unit holds Hf at (0.000, 0.000, 0.500), Sn at (0.500, 0.500, 0.500) and F at (0.000, 0.000, 0.000).

=====

No. 11
The following is a PBE calculation of crystalline LiI2NCl at its relaxed geometry, from Alexandria.

The formation energy from raw total energies is 0.717 eV/atom.

The space group is P4/mmm (No. 123) and the conventional cell measures 6.841, 6.841 and 3.417 Å, with angles of 90.00, 90.00 and 90.00 degrees. The asymmetric unit holds Li at (0.000, 0.000, 0.000), I at (0.000, 0.500, 0.500), N at (0.500, 0.500, 0.000) and Cl at (0.500, 0.500, 0.500).

=====

No. 12
The following is a PBE calculation of crystalline KTlI2F at its relaxed geometry, from Alexandria.

The formation energy from raw total energies is -0.426 eV/atom.

The space group is P4/mmm (No. 123) and the conventional cell measures 6.325, 6.325 and 9.038 Å, with angles of 90.00, 90.00 and 90.00 degrees. The asymmetric unit holds K at (0.000, 0.000, 0.000), Tl at (0.000, 0.000, 0.500), I at (0.000, 0.500, 0.000) and F at (0.500, 0.500, 0.500).